Density functional theory data (PBE-GGA) for ZnCdAg2 after structural relaxation.

## Properties
- Calculated formation energy: 35.6 meV per atom
- Total magnetic moment: 0.0 μB/cell
- Density of states at the Fermi level: 0.866 states/eV/cell

Cell lengths 2.940, 2.940, 9.590 Å; angles 90.00, 90.00, 117.75 degrees
Positions (direct):
Zn  0.000  0.000  0.000
Cd  0.500  0.500  0.745
Ag  0.000  0.000  0.484
Ag  0.500  0.500  0.232

***

Density functional theory data (PBE-GGA) for ZnCd3Ag7 after structural relaxation.

## Properties
- Calculated formation energy: 21.8 meV per atom
- Relative energy among the computed polymorphs: 0 meV per atom
- Total magnetic moment: 0.0 μB/cell
- Density of states at the Fermi level: 2.530 states/eV/cell

Cell lengths 4.881, 6.738, 6.852 Å; angles 84.89, 76.36, 77.24 degrees
Positions (direct):
Zn  0.000  0.000  0.000
Cd  0.236  0.253  0.257
Cd  0.486  0.492  0.509
Cd  0.763  0.734  0.743
Ag  0.230  0.941  0.597
Ag  0.250  0.593  0.921
Ag  0.499  0.835  0.162
Ag  0.508  0.167  0.829
Ag  0.744  0.079  0.405
Ag  0.761  0.404  0.064
Ag  0.994  0.669  0.327

***

Density functional theory data (PBE-GGA) for Zn3CdAg6 after structural relaxation.

## Properties
- Calculated formation energy: 24.2 meV per atom
- Total magnetic moment: 0.0 μB/cell
- Density of states at the Fermi level: 6.981 states/eV/cell

Cell lengths 8.026, 8.026, 5.775 Å; angles 90.00, 90.00, 105.20 degrees
Positions (direct):
Zn  0.001  0.999  0.500
Zn  0.238  0.503  0.055
Zn  0.497  0.762  0.055
Zn  0.503  0.238  0.555
Zn  0.762  0.497  0.555
Zn  0.999  0.001  0.000
Cd  0.215  0.785  0.728
Cd  0.785  0.215  0.228
Ag  0.070  0.467  0.463
Ag  0.187  0.813  0.236
Ag  0.210  0.250  0.755
Ag  0.250  0.210  0.255
Ag  0.445  0.555  0.477
Ag  0.467  0.070  0.963
Ag  0.533  0.930  0.463
Ag  0.555  0.445  0.977
Ag  0.750  0.790  0.755
Ag  0.790  0.750  0.255
Ag  0.813  0.187  0.736
Ag  0.930  0.533  0.963

***

Density functional theory data (PBE-GGA) for Zn5CdAg4 after structural relaxation.

## Properties
- Calculated formation energy: 4.9 meV per atom
- Relative energy among the computed polymorphs: 18 meV per atom
- Total magnetic moment: 0.0 μB/cell
- Density of states at the Fermi level: 2.966 states/eV/cell

Cell lengths 2.905, 2.905, 19.812 Å; angles 90.00, 90.00, 90.00 degrees
Positions (direct):
Zn  0.000  0.000  0.000
Zn  0.000  0.000  0.194
Zn  0.000  0.000  0.390
Zn  0.000  0.000  0.610
Zn  0.000  0.000  0.806
Cd  0.500  0.500  0.500
Ag  0.500  0.500  0.097
Ag  0.500  0.500  0.293
Ag  0.500  0.500  0.707
Ag  0.500  0.500  0.903

***

Density functional theory data (PBE-GGA) for Zn5CdAg2 after structural relaxation.

## Properties
- Calculated formation energy: 91.8 meV per atom
- Relative energy among the computed polymorphs: 51 meV per atom
- Total magnetic moment: 0.0 μB/cell
- Density of states at the Fermi level: 2.423 states/eV/cell

Cell lengths 6.378, 6.378, 6.378 Å; angles 143.19, 101.03, 90.47 degrees
Positions (direct):
Zn  0.000  0.000  0.000
Zn  0.027  0.349  0.678
Zn  0.330  0.651  0.678
Zn  0.670  0.349  0.322
Zn  0.973  0.651  0.322
Cd  0.500  0.000  0.500
Ag  0.288  0.288  0.000
Ag  0.712  0.712  0.000

***

Density functional theory data (PBE-GGA) for Zn2CdAg after structural relaxation.

## Properties
- Calculated formation energy: 36.6 meV per atom
- Total magnetic moment: 0.0 μB/cell
- Density of states at the Fermi level: 0.713 states/eV/cell

Cell lengths 5.451, 5.451, 5.451 Å; angles 146.00, 129.71, 62.10 degrees
Positions (direct):
Zn  0.000  0.000  0.000
Zn  0.771  0.271  0.500
Cd  0.510  0.510  0.000
Ag  0.242  0.742  0.500

***

Density functional theory data (PBE-GGA) for Zn2CdAg after structural relaxation.

## Properties
- Calculated formation energy: 30.3 meV per atom
- Total magnetic moment: 0.0 μB/cell
- Density of states at the Fermi level: 1.004 states/eV/cell

Cell lengths 4.124, 4.124, 4.925 Å; angles 113.24, 113.24, 87.76 degrees
Positions (direct):
Zn  0.000  0.000  0.000
Zn  0.753  0.247  0.500
Cd  0.251  0.749  0.500
Ag  0.508  0.492  0.000

***

Density functional theory data (PBE-GGA) for Zn6CdAg2 after structural relaxation.

## Properties
- Calculated formation energy: 252.8 meV per atom
- Total magnetic moment: 0.0 μB/cell
- Density of states at the Fermi level: 1.456 states/eV/cell

Cell lengths 6.205, 6.205, 6.205 Å; angles 60.00, 60.00, 60.00 degrees
Positions (direct):
Zn  0.210  0.210  0.790
Zn  0.210  0.790  0.210
Zn  0.210  0.790  0.790
Zn  0.790  0.210  0.210
Zn  0.790  0.210  0.790
Zn  0.790  0.790  0.210
Cd  0.500  0.500  0.500
Ag  0.250  0.250  0.250
Ag  0.750  0.750  0.750

***

Density functional theory data (PBE-GGA) for Zn5CdAg6 after structural relaxation.

## Properties
- Calculated formation energy: -31.6 meV per atom
- Relative energy among the computed polymorphs: 0 meV per atom
- Total magnetic moment: 0.0 μB/cell
- Density of states at the Fermi level: 1.828 states/eV/cell

Cell lengths 7.674, 7.674, 7.674 Å; angles 146.87, 124.67, 66.02 degrees
Positions (direct):
Zn  0.000  0.000  0.000
Zn  0.174  0.674  0.500
Zn  0.339  0.339  0.000
Zn  0.661  0.661  0.000
Zn  0.826  0.326  0.500
Cd  0.500  0.000  0.500
Ag  0.066  0.830  0.237
Ag  0.229  0.500  0.729
Ag  0.407  0.170  0.237
Ag  0.593  0.830  0.763
Ag  0.771  0.500  0.271
Ag  0.934  0.170  0.763

***

Density functional theory data (PBE-GGA) for Zn4Cd2Ag5 after structural relaxation.

## Properties
- Calculated formation energy: 34.8 meV per atom
- Relative energy among the computed polymorphs: 0 meV per atom
- Total magnetic moment: 0.0 μB/cell
- Density of states at the Fermi level: 1.875 states/eV/cell

Cell lengths 5.781, 5.781, 7.058 Å; angles 91.01, 91.01, 59.01 degrees
Positions (direct):
Zn  0.093  0.093  0.359
Zn  0.265  0.265  0.007
Zn  0.735  0.735  0.993
Zn  0.907  0.907  0.641
Cd  0.420  0.420  0.687
Cd  0.580  0.580  0.313
Ag  0.000  0.000  0.000
Ag  0.082  0.588  0.312
Ag  0.412  0.918  0.688
Ag  0.588  0.082  0.312
Ag  0.918  0.412  0.688

***

Density functional theory data (PBE-GGA) for ZnCdAg2 after structural relaxation.

## Properties
- Calculated formation energy: 13.7 meV per atom
- Total magnetic moment: 0.0 μB/cell
- Density of states at the Fermi level: 1.166 states/eV/cell

Cell lengths 4.668, 4.668, 4.668 Å; angles 60.00, 60.00, 60.00 degrees
Positions (direct):
Zn  0.000  0.000  0.000
Cd  0.250  0.250  0.250
Ag  0.500  0.500  0.500
Ag  0.750  0.750  0.750

***

Values for total DFT energy (no corrections), eV per atom, ordered as above
-1.937 -2.158 -2.160 -1.864 -1.532 -1.542 -1.548 -1.332 -2.064 -1.891 -1.959